Record 1
DFT (PBE) results for a relaxed ReTc2O crystal.

electronic total energy: -37.20 eV/f.u.

a b c (Å): 6.1465 6.1465 6.1465
angles (deg): 130.75 130.75 72.22
Atoms (fractional coordinates):
Re (0.0000, 0.0000, 0.0000)
Re (0.7500, 0.2500, 0.5000)
Tc (0.1944, 0.6250, 0.0694)
Tc (0.3750, 0.4444, 0.5694)
Tc (0.5556, 0.1250, 0.9306)
Tc (0.8750, 0.8056, 0.4306)
O (0.2500, 0.7500, 0.5000)
O (0.5000, 0.5000, 0.0000)


Record 2
DFT (PBE) results for a relaxed LiPr3Pd crystal.

energy relative to the elements: -0.196 eV/atom
electronic total energy: -22.43 eV/f.u.

a b c (Å): 10.0307 5.7528 11.5681
angles (deg): 90.00 116.81 90.00
Atoms (fractional coordinates):
Li (0.0201, 0.1230, 0.4070)
Li (0.0201, 0.3770, 0.9070)
Li (0.9799, 0.6230, 0.0930)
Li (0.9799, 0.8770, 0.5930)
Pr (0.1724, 0.1041, 0.2059)
Pr (0.1724, 0.3959, 0.7059)
Pr (0.2133, 0.6166, 0.4225)
Pr (0.2133, 0.8834, 0.9225)
Pr (0.4456, 0.1366, 0.6215)
Pr (0.4456, 0.3634, 0.1215)
Pr (0.5544, 0.6366, 0.8785)
Pr (0.5544, 0.8634, 0.3785)
Pr (0.7867, 0.1166, 0.0775)
Pr (0.7867, 0.3834, 0.5775)
Pr (0.8276, 0.6041, 0.2941)
Pr (0.8276, 0.8959, 0.7941)
Pd (0.4526, 0.1422, 0.8833)
Pd (0.4526, 0.3578, 0.3833)
Pd (0.5474, 0.6422, 0.6167)
Pd (0.5474, 0.8578, 0.1167)


Record 3
DFT (PBE) results for a relaxed PaSi3Tc2 crystal.

electronic total energy: -49.34 eV/f.u.

a b c (Å): 5.8710 5.8710 5.7911
angles (deg): 90.00 90.00 79.48
Atoms (fractional coordinates):
Pa (0.1492, 0.8508, 0.7500)
Pa (0.8508, 0.1492, 0.2500)
Si (0.0583, 0.6232, 0.2500)
Si (0.3768, 0.9417, 0.2500)
Si (0.4708, 0.5292, 0.2500)
Si (0.5292, 0.4708, 0.7500)
Si (0.6232, 0.0583, 0.7500)
Si (0.9417, 0.3768, 0.7500)
Tc (0.2806, 0.2806, 0.0000)
Tc (0.2806, 0.2806, 0.5000)
Tc (0.7194, 0.7194, 0.0000)
Tc (0.7194, 0.7194, 0.5000)


Record 4
DFT (PBE) results for a relaxed K2AlTe2 crystal.

electronic total energy: -14.62 eV/f.u.

a b c (Å): 8.1978 8.1978 5.2002
angles (deg): 90.00 90.00 90.00
Atoms (fractional coordinates):
K (0.1381, 0.3619, 0.0000)
K (0.3619, 0.8619, 0.0000)
K (0.6381, 0.1381, 0.0000)
K (0.8619, 0.6381, 0.0000)
Al (0.0000, 0.0000, 0.5000)
Al (0.5000, 0.5000, 0.5000)
Te (0.1822, 0.6822, 0.5000)
Te (0.3178, 0.1822, 0.5000)
Te (0.6822, 0.8178, 0.5000)
Te (0.8178, 0.3178, 0.5000)


Record 5
DFT (PBE) results for a relaxed MoPb crystal.

E above lowest polymorph: 1.131 eV/atom
energy relative to the elements: 1.457 eV/atom
electronic total energy: -11.63 eV/f.u.

a b c (Å): 4.8624 4.8624 5.5530
angles (deg): 90.00 90.00 120.00
Atoms (fractional coordinates):
Mo (0.3333, 0.6667, 0.2500)
Mo (0.6667, 0.3333, 0.7500)
Pb (0.3333, 0.6667, 0.7500)
Pb (0.6667, 0.3333, 0.2500)


Record 6
DFT (PBE) results for a relaxed PuCrH3 crystal.

electronic total energy: -34.69 eV/f.u.

a b c (Å): 3.5975 3.5975 3.5975
angles (deg): 90.00 90.00 90.00
Atoms (fractional coordinates):
Pu (0.0000, 0.0000, 0.0000)
Cr (0.5000, 0.5000, 0.5000)
H (0.0000, 0.5000, 0.5000)
H (0.5000, 0.0000, 0.5000)
H (0.5000, 0.5000, 0.0000)